First-principles (PBE-GGA) data for crystalline CsOsS3 at its relaxed geometry, as listed in the Alexandria database.

Energy above the most stable polymorph in this dataset = 475 meV per atom
E_form (uncorrected) = -0.018 eV per atom

a b c (Å): 4.8046 4.8046 4.8046
angles (deg): 90.00 90.00 90.00
Sites, in units of the cell vectors:
S1 0.0000 0.0000 0.5000
S2 0.0000 0.5000 0.0000
Cs1 0.5000 0.5000 0.5000
Os1 0.0000 0.0000 0.0000
S3 0.5000 0.0000 0.0000

***

First-principles (PBE-GGA) data for crystalline CsOsS4 at its relaxed geometry, as listed in the Alexandria database.

E_form (uncorrected) = -0.180 eV per atom

a b c (Å): 6.0912 7.3365 8.7433
angles (deg): 114.81 98.90 90.00
Sites, in units of the cell vectors:
S1 0.5713 0.3804 0.1378
S2 0.4287 0.2426 0.8622
S3 0.0000 0.7486 0.0000
S4 0.4287 0.6196 0.8622
S5 0.2301 0.6721 0.3442
Cs1 0.1990 0.1983 0.3965
S6 0.0000 0.2514 0.0000
Os1 0.7589 0.4752 0.9505
Cs2 0.8010 0.8017 0.6035
S7 0.5713 0.7574 0.1378
S8 0.7699 0.3279 0.6558
Os2 0.2411 0.5248 0.0495